# 1
Computed, not measured: a geometry-optimized HoAlPd structure at the GGA-PBE level of DFT.

- Size of the total moment: 0.000 μB/atom
- Calculated formation energy: -0.781 eV/atom
- Electronic total energy: -15.86 eV for the cell shown

abc: 4.4302 4.4302 3.6371
angles: 90.00 90.00 120.00
Space group P-6m2 (No. 187)
Asymmetric unit:
Ho 0.0000 0.0000 0.0000 (multiplicity 1)
Al 0.3333 0.6667 0.5000 (multiplicity 1)
Pd 0.6667 0.3333 0.5000 (multiplicity 1)

=====

# 2
Computed, not measured: a geometry-optimized Ho3Al5Pd structure at the GGA-PBE level of DFT.

- Size of the total moment: 0.000 μB/atom
- Calculated formation energy: -0.656 eV/atom
- Electronic total energy: -43.54 eV for the cell shown

abc: 6.9755 6.9755 4.3773
angles: 90.00 90.00 120.00
Space group P-62m (No. 189)
Asymmetric unit:
Ho 0.0000 0.4156 0.0000 (multiplicity 3)
Al 0.0000 0.7654 0.5000 (multiplicity 3)
Al 0.3333 0.6667 0.5000 (multiplicity 2)
Pd 0.0000 0.0000 0.0000 (multiplicity 1)

=====

# 3
Computed, not measured: a geometry-optimized Ho3Al2Pd6 structure at the GGA-PBE level of DFT.

- Size of the total moment: 0.000 μB/atom
- Calculated formation energy: -0.898 eV/atom
- Electronic total energy: -248.99 eV for the cell shown

abc: 9.4620 9.4620 9.4620
angles: 90.00 90.00 90.00
Space group Im-3m (No. 229)
Asymmetric unit:
Ho 0.0000 0.0000 0.2960 (multiplicity 12)
Al 0.2500 0.2500 0.2500 (multiplicity 8)
Pd 0.0000 0.3267 0.3267 (multiplicity 24)

=====

# 4
Computed, not measured: a geometry-optimized Ho2Al9Pd3 structure at the GGA-PBE level of DFT.

- Size of the total moment: 0.000 μB/atom
- Calculated formation energy: -0.686 eV/atom
- Electronic total energy: -272.06 eV for the cell shown

abc: 13.2188 7.7023 9.4418
angles: 90.00 90.00 90.00
Space group Cmcm (No. 63)
Asymmetric unit:
Ho 0.1615 0.1682 0.2500 (multiplicity 8)
Al 0.0000 0.1294 0.7500 (multiplicity 4)
Al 0.0000 0.3330 0.0578 (multiplicity 8)
Al 0.1044 0.4430 0.7500 (multiplicity 8)
Al 0.1674 0.1677 0.5767 (multiplicity 16)
Pd 0.0000 0.0000 0.0000 (multiplicity 4)
Pd 0.1719 0.5000 0.0000 (multiplicity 8)

=====

# 5
Computed, not measured: a geometry-optimized HoAl6Pd2 structure at the GGA-PBE level of DFT.

- Size of the total moment: 0.000 μB/atom
- Calculated formation energy: -0.436 eV/atom
- Electronic total energy: -41.34 eV for the cell shown

abc: 4.5228 4.5228 7.9005
angles: 90.00 90.00 90.00
Space group P4/mmm (No. 123)
Asymmetric unit:
Ho 0.0000 0.0000 0.0000 (multiplicity 1)
Al 0.0000 0.0000 0.5000 (multiplicity 1)
Al 0.0000 0.5000 0.2959 (multiplicity 4)
Al 0.5000 0.5000 0.5000 (multiplicity 1)
Pd 0.5000 0.5000 0.1693 (multiplicity 2)

=====

# 6
Computed, not measured: a geometry-optimized HoAl4Pd2 structure at the GGA-PBE level of DFT.

- Size of the total moment: 0.000 μB/atom
- Calculated formation energy: -0.574 eV/atom
- Polymorph energy (0 for the lowest one): 0.120 eV per atom
- Electronic total energy: -67.90 eV for the cell shown

abc: 8.7318 6.5852 5.2792
angles: 90.00 126.37 90.00
Space group C2/m (No. 12)
Asymmetric unit:
Ho 0.0000 0.0000 0.0000 (multiplicity 2)
Al 0.1908 0.2032 0.7050 (multiplicity 8)
Pd 0.0569 0.5000 0.3052 (multiplicity 4)

=====

# 7
Computed, not measured: a geometry-optimized Ho3Al6Pd20 structure at the GGA-PBE level of DFT.

- Size of the total moment: 0.000 μB/atom
- Calculated formation energy: -0.775 eV/atom
- Electronic total energy: -650.09 eV for the cell shown

abc: 12.4325 12.4325 12.4325
angles: 90.00 90.00 90.00
Space group Fm-3m (No. 225)
Asymmetric unit:
Ho 0.0000 0.0000 0.0000 (multiplicity 4)
Ho 0.2500 0.2500 0.2500 (multiplicity 8)
Al 0.0000 0.0000 0.2735 (multiplicity 24)
Pd 0.0000 0.1715 0.1715 (multiplicity 48)
Pd 0.1211 0.1211 0.3789 (multiplicity 32)

=====

# 8
Computed, not measured: a geometry-optimized Ho2Al3Pd4 structure at the GGA-PBE level of DFT.

- Size of the total moment: 0.000 μB/atom
- Calculated formation energy: -0.920 eV/atom
- Electronic total energy: -197.72 eV for the cell shown

abc: 5.5790 15.2642 7.6286
angles: 90.00 90.00 90.00
Space group Cmce (No. 64)
Asymmetric unit:
Ho 0.0000 0.1076 0.0869 (multiplicity 8)
Al 0.0000 0.0000 0.5000 (multiplicity 4)
Al 0.2500 0.2294 0.7500 (multiplicity 8)
Pd 0.0000 0.1826 0.4784 (multiplicity 8)
Pd 0.2500 0.0612 0.7500 (multiplicity 8)

=====

# 9
Computed, not measured: a geometry-optimized Ho6AlPd2 structure at the GGA-PBE level of DFT.

- Size of the total moment: 0.000 μB/atom
- Calculated formation energy: -0.523 eV/atom
- Electronic total energy: -185.22 eV for the cell shown

abc: 9.3993 9.6048 10.2924
angles: 90.00 90.00 90.00
Space group Immm (No. 71)
Asymmetric unit:
Ho 0.0000 0.1938 0.2388 (multiplicity 8)
Ho 0.2025 0.5000 0.1717 (multiplicity 8)
Ho 0.2153 0.3191 0.5000 (multiplicity 8)
Al 0.0000 0.0000 0.0000 (multiplicity 2)
Al 0.0000 0.0000 0.5000 (multiplicity 2)
Pd 0.0000 0.3400 0.0000 (multiplicity 4)
Pd 0.0000 0.5000 0.3664 (multiplicity 4)

=====

# 10
Computed, not measured: a geometry-optimized Ho8AlPd2 structure at the GGA-PBE level of DFT.

- Size of the total moment: 0.000 μB/atom
- Calculated formation energy: -0.295 eV/atom
- Electronic total energy: -107.98 eV for the cell shown

abc: 8.6074 13.5421 5.3848
angles: 90.00 106.91 90.00
Space group C2/m (No. 12)
Asymmetric unit:
Ho 0.0000 0.2357 0.0000 (multiplicity 4)
Ho 0.1133 0.5000 0.8118 (multiplicity 4)
Ho 0.2052 0.1221 0.5808 (multiplicity 8)
Al 0.0000 0.0000 0.0000 (multiplicity 2)
Pd 0.0000 0.3039 0.5000 (multiplicity 4)

=====

# 11
Computed, not measured: a geometry-optimized HoAl12Pd4 structure at the GGA-PBE level of DFT.

- Size of the total moment: 0.000 μB/atom
- Calculated formation energy: -0.182 eV/atom
- Electronic total energy: -146.72 eV for the cell shown

abc: 8.7591 8.7591 8.7591
angles: 90.00 90.00 90.00
Space group Im-3 (No. 204)
Asymmetric unit:
Ho 0.0000 0.0000 0.0000 (multiplicity 2)
Al 0.0000 0.3413 0.1563 (multiplicity 24)
Pd 0.2500 0.2500 0.2500 (multiplicity 8)

=====

# 12
Computed, not measured: a geometry-optimized Ho2Al5Pd3 structure at the GGA-PBE level of DFT.

- Size of the total moment: 0.000 μB/atom
- Calculated formation energy: -0.788 eV/atom
- Electronic total energy: -205.29 eV for the cell shown

abc: 10.2176 12.8001 5.6727
angles: 90.00 90.00 90.00
Space group Ibam (No. 72)
Asymmetric unit:
Ho 0.2208 0.1479 0.0000 (multiplicity 8)
Al 0.0000 0.0000 0.2500 (multiplicity 4)
Al 0.0000 0.2942 0.2500 (multiplicity 8)
Al 0.1739 0.4109 0.0000 (multiplicity 8)
Pd 0.0000 0.5000 0.2500 (multiplicity 4)
Pd 0.0927 0.1455 0.5000 (multiplicity 8)

=====

# 13
Computed, not measured: a geometry-optimized HoAl2Pd structure at the GGA-PBE level of DFT.

- Size of the total moment: 0.000 μB/atom
- Calculated formation energy: -0.656 eV/atom
- Electronic total energy: -59.64 eV for the cell shown

abc: 4.2621 4.2621 15.1592
angles: 90.00 90.00 120.00
Space group R-3m (No. 166, hexagonal axes)
Asymmetric unit:
Ho 0.0000 0.0000 0.0000 (multiplicity 3)
Al 0.0000 0.0000 0.2116 (multiplicity 6)
Pd 0.0000 0.0000 0.5000 (multiplicity 3)

=====

# 14
Computed, not measured: a geometry-optimized HoAl6Pd3 structure at the GGA-PBE level of DFT.

- Size of the total moment: 0.000 μB/atom
- Calculated formation energy: -0.585 eV/atom
- Electronic total energy: -96.93 eV for the cell shown

abc: 8.0849 4.1616 10.6206
angles: 90.00 96.69 90.00
Space group P2_1/m (No. 11)
Asymmetric unit:
Ho 0.0137 0.2500 0.2722 (multiplicity 2)
Al 0.0632 0.2500 0.9408 (multiplicity 2)
Al 0.2129 0.7500 0.4517 (multiplicity 2)
Al 0.2683 0.7500 0.1947 (multiplicity 2)
Al 0.3411 0.7500 0.7295 (multiplicity 2)
Al 0.4142 0.2500 0.0637 (multiplicity 2)
Al 0.4415 0.2500 0.5827 (multiplicity 2)
Pd 0.1243 0.2500 0.5604 (multiplicity 2)
Pd 0.2629 0.7500 0.9551 (multiplicity 2)
Pd 0.3709 0.2500 0.3379 (multiplicity 2)

=====

# 15
Computed, not measured: a geometry-optimized Ho2Al5Pd3 structure at the GGA-PBE level of DFT.

- Size of the total moment: 0.000 μB/atom
- Calculated formation energy: -0.790 eV/atom
- Electronic total energy: -205.37 eV for the cell shown

abc: 4.3361 25.1024 6.6944
angles: 90.00 90.00 90.00
Space group Cmc2_1 (No. 36)
Asymmetric unit:
Ho 0.0000 0.0178 0.0000 (multiplicity 4)
Ho 0.0000 0.3255 0.0343 (multiplicity 4)
Al 0.0000 0.1022 0.3474 (multiplicity 4)
Al 0.0000 0.2075 0.8447 (multiplicity 4)
Al 0.0000 0.2107 0.2471 (multiplicity 4)
Al 0.0000 0.3736 0.5101 (multiplicity 4)
Al 0.0000 0.4455 0.1786 (multiplicity 4)
Pd 0.0000 0.1079 0.7438 (multiplicity 4)
Pd 0.0000 0.2730 0.5487 (multiplicity 4)
Pd 0.0000 0.4498 0.7842 (multiplicity 4)

=====

# 16
Computed, not measured: a geometry-optimized HoAlPd structure at the GGA-PBE level of DFT.

- Size of the total moment: 0.000 μB/atom
- Calculated formation energy: -0.471 eV/atom
- Electronic total energy: -44.78 eV for the cell shown

abc: 3.7294 3.7294 16.7118
angles: 90.00 90.00 120.00
Space group R3m (No. 160, hexagonal axes)
Asymmetric unit:
Ho 0.0000 0.0000 0.0000 (multiplicity 3)
Al 0.0000 0.0000 0.8038 (multiplicity 3)
Pd 0.0000 0.0000 0.2141 (multiplicity 3)

=====

# 17
Computed, not measured: a geometry-optimized Ho3Al8Pd3 structure at the GGA-PBE level of DFT.

- Size of the total moment: 0.000 μB/atom
- Calculated formation energy: -0.686 eV/atom
- Polymorph energy (0 for the lowest one): 0.012 eV per atom
- Electronic total energy: -137.72 eV for the cell shown

abc: 4.3338 9.8975 12.2113
angles: 90.00 90.00 90.00
Space group Immm (No. 71)
Asymmetric unit:
Ho 0.0000 0.0000 0.0000 (multiplicity 2)
Ho 0.0000 0.0000 0.3114 (multiplicity 4)
Al 0.0000 0.2832 0.1229 (multiplicity 8)
Al 0.0000 0.3672 0.3376 (multiplicity 8)
Pd 0.0000 0.2084 0.5000 (multiplicity 4)
Pd 0.0000 0.5000 0.0000 (multiplicity 2)

=====

# 18
Computed, not measured: a geometry-optimized Ho2AlPd2 structure at the GGA-PBE level of DFT.

- Size of the total moment: 0.000 μB/atom
- Calculated formation energy: -0.724 eV/atom
- Electronic total energy: -107.62 eV for the cell shown

abc: 7.3303 10.7726 5.7154
angles: 90.00 90.00 90.00
Space group Ibam (No. 72)
Asymmetric unit:
Ho 0.1542 0.1568 0.0000 (multiplicity 8)
Al 0.0000 0.5000 0.2500 (multiplicity 4)
Pd 0.2413 0.0961 0.5000 (multiplicity 8)

=====

# 19
Computed, not measured: a geometry-optimized Ho3AlPd2 structure at the GGA-PBE level of DFT.

- Size of the total moment: 0.000 μB/atom
- Calculated formation energy: -0.736 eV/atom
- Electronic total energy: -32.28 eV for the cell shown

abc: 3.4910 3.4910 10.8288
angles: 90.00 90.00 90.00
Space group P4/mmm (No. 123)
Asymmetric unit:
Ho 0.0000 0.0000 0.0000 (multiplicity 1)
Ho 0.0000 0.0000 0.3232 (multiplicity 2)
Al 0.5000 0.5000 0.5000 (multiplicity 1)
Pd 0.5000 0.5000 0.1655 (multiplicity 2)